[1]
Compound: K2CdH
Source: Alexandria via LeMat-Bulk
Functional: PBEsol
Structure: optimized geometry

Geometry as CIF:
```
data_K2CdH
_space_group_name_H-M_alt 'P 1'
_space_group_IT_number 1
_space_group_name_Hall 'P 1'
_cell_length_a 5.6328
_cell_length_b 5.6328
_cell_length_c 5.6328
_cell_angle_alpha 60.00
_cell_angle_beta 60.00
_cell_angle_gamma 60.00
loop_
_atom_site_label
_atom_site_fract_x
_atom_site_fract_y
_atom_site_fract_z
K1 0.2500 0.2500 0.2500
K2 0.7500 0.7500 0.7500
Cd1 0.0000 0.0000 0.0000
H1 0.5000 0.5000 0.5000
```

Computed properties:
volume	126	Å³/cell
total energy	-1.441	eV/atom
Fermi-level density of states	0.4165	states/eV/atom



[2]
Compound: NbAu4
Source: Alexandria via LeMat-Bulk
Functional: PBEsol
Structure: optimized geometry

Geometry as CIF:
```
data_NbAu4
_space_group_name_H-M_alt 'P 1'
_space_group_IT_number 1
_space_group_name_Hall 'P 1'
_cell_length_a 11.8957
_cell_length_b 11.8957
_cell_length_c 11.8957
_cell_angle_alpha 13.96
_cell_angle_beta 13.96
_cell_angle_gamma 13.96
loop_
_atom_site_label
_atom_site_fract_x
_atom_site_fract_y
_atom_site_fract_z
Nb1 0.0000 0.0000 0.0000
Au1 0.2002 0.2002 0.2002
Au2 0.3992 0.3992 0.3992
Au3 0.6008 0.6008 0.6008
Au4 0.7998 0.7998 0.7998
```

Computed properties:
volume	85	Å³/cell
total energy	-5.334	eV/atom
energy of formation	-0.031	eV/atom
Fermi-level density of states	0.4861	states/eV/atom



[3]
Compound: RuAuNF2
Source: Alexandria via LeMat-Bulk
Functional: PBEsol
Structure: optimized geometry

Geometry as CIF:
```
data_RuAuNF2
_space_group_name_H-M_alt 'P 1'
_space_group_IT_number 1
_space_group_name_Hall 'P 1'
_cell_length_a 4.5234
_cell_length_b 4.5234
_cell_length_c 3.6860
_cell_angle_alpha 90.00
_cell_angle_beta 90.00
_cell_angle_gamma 90.00
loop_
_atom_site_label
_atom_site_fract_x
_atom_site_fract_y
_atom_site_fract_z
Ru1 0.0000 0.0000 0.0000
Au1 0.5000 0.5000 0.5000
N1 0.5000 0.5000 0.0000
F1 0.0000 0.5000 0.5000
F2 0.5000 0.0000 0.5000
```

Computed properties:
volume	75	Å³/cell
formation energy (no corrections)	4.62	eV/f.u.
total energy	-4.371	eV/atom
Fermi-level density of states	0.7858	states/eV/atom



[4]
Compound: Ta2CuRh
Source: Alexandria via LeMat-Bulk
Functional: PBEsol
Structure: optimized geometry

Geometry as CIF:
```
data_Ta2CuRh
_space_group_name_H-M_alt 'P 1'
_space_group_IT_number 1
_space_group_name_Hall 'P 1'
_cell_length_a 4.7676
_cell_length_b 4.7676
_cell_length_c 2.8060
_cell_angle_alpha 90.00
_cell_angle_beta 90.00
_cell_angle_gamma 110.15
loop_
_atom_site_label
_atom_site_fract_x
_atom_site_fract_y
_atom_site_fract_z
Ta1 0.0000 0.5000 0.0000
Ta2 0.5000 0.0000 0.0000
Cu1 0.0000 0.0000 0.5000
Rh1 0.5000 0.5000 0.5000
```

Computed properties:
volume	60	Å³/cell
total energy	-9.575	eV/atom
energy of formation	-0.181	eV/atom
Fermi-level density of states	0.7166	states/eV/atom



[5]
Compound: HfW2
Source: Alexandria via LeMat-Bulk
Functional: PBEsol
Structure: optimized geometry

Geometry as CIF:
```
data_HfW2
_space_group_name_H-M_alt 'P 1'
_space_group_IT_number 1
_space_group_name_Hall 'P 1'
_cell_length_a 5.3291
_cell_length_b 5.3291
_cell_length_c 5.3291
_cell_angle_alpha 60.00
_cell_angle_beta 60.00
_cell_angle_gamma 60.00
loop_
_atom_site_label
_atom_site_fract_x
_atom_site_fract_y
_atom_site_fract_z
Hf1 0.1250 0.1250 0.1250
Hf2 0.8750 0.8750 0.8750
W1 0.0000 0.5000 0.5000
W2 0.5000 0.0000 0.5000
W3 0.5000 0.5000 0.0000
W4 0.5000 0.5000 0.5000
```

Computed properties:
volume	107	Å³/cell
total energy	-12.865	eV/atom
energy of formation	-0.159	eV/atom
Fermi-level density of states	0.4376	states/eV/atom



[6]
Compound: KLa2Rh
Source: Alexandria via LeMat-Bulk
Functional: PBEsol
Structure: optimized geometry

Geometry as CIF:
```
data_KLa2Rh
_space_group_name_H-M_alt 'P 1'
_space_group_IT_number 1
_space_group_name_Hall 'P 1'
_cell_length_a 4.1722
_cell_length_b 4.1722
_cell_length_c 10.6903
_cell_angle_alpha 100.96
_cell_angle_beta 100.96
_cell_angle_gamma 59.92
loop_
_atom_site_label
_atom_site_fract_x
_atom_site_fract_y
_atom_site_fract_z
K1 0.0000 0.0000 0.0000
La1 0.2128 0.2128 0.6421
La2 0.7872 0.7872 0.3579
Rh1 0.5000 0.5000 0.5000
```

Computed properties:
volume	157	Å³/cell
total energy	-5.296	eV/atom
energy of formation	-0.304	eV/atom
Fermi-level density of states	0.9167	states/eV/atom
distance to the lowest polymorph of the same formula	0	meV/atom